Entry from Alexandria: crystalline V2ZnRhO8 at its relaxed geometry (GGA+U).

abc: 5.654 5.654 5.703
angles: 90.00 90.00 120.00
Each line ends with the local moment (μB).
Sites, in units of the cell vectors:
O 0.309 0.155 0.228  0.06
V 0.667 0.333 0.302  -0.03
O 0.333 0.667 0.413  0.02
O 0.155 0.845 0.772  0.06
V 0.333 0.667 0.698  -0.03
O 0.155 0.309 0.772  0.06
O 0.691 0.845 0.772  0.06
Rh 0.000 0.000 0.000  0.53
O 0.667 0.333 0.587  0.02
Zn 0.000 0.000 0.500  0.01
O 0.845 0.691 0.228  0.06
O 0.845 0.155 0.228  0.06

Summary:
- Energy: -79.19 eV for the cell shown
- Total moment: 1.0 μB/cell